1.
Nd15HoIn4 | PBE-GGA | optimized geometry

Summary:
The value obtained for the density of states at the Fermi level is 1.50 states/eV/atom. For the formation enthalpy at 0 K, the calculation gives -4.23 eV per formula unit. The density comes out at 7.3 g/cm3.

```
data_Nd15HoIn4
_cell_length_a 4.990
_cell_length_b 4.990
_cell_length_c 25.445
_cell_angle_alpha 90.00
_cell_angle_beta 90.00
_cell_angle_gamma 90.00
_symmetry_space_group_name_H-M 'P 4/m m m'
_symmetry_Int_Tables_number 123
_symmetry_space_group_name_Hall '-P 4 2'
loop_
_atom_site_label
_atom_site_type_symbol
_atom_site_fract_x
_atom_site_fract_y
_atom_site_fract_z
_atom_site_occupancy
Nd1 Nd 0.000 0.000 0.000 1
Nd2 Nd 0.000 0.000 0.204 1
Nd3 Nd 0.000 0.000 0.401 1
Nd4 Nd 0.000 0.500 0.105 1
Nd5 Nd 0.000 0.500 0.303 1
Nd6 Nd 0.000 0.500 0.500 1
Ho1 Ho 0.500 0.500 0.000 1
In1 In 0.500 0.500 0.205 1
In2 In 0.500 0.500 0.401 1
```



2.
PrYHgAu | PBE-GGA | optimized geometry

Summary:
The value obtained for the density of states at the Fermi level is 1.02 states/eV/atom. For the formation enthalpy at 0 K, the calculation gives -2.56 eV per formula unit. The density comes out at 10.0 g/cm3. The energy above the most stable polymorph in this dataset is 0 meV/atom.

```
data_PrYHgAu
_cell_length_a 3.714
_cell_length_b 3.714
_cell_length_c 7.561
_cell_angle_alpha 90.00
_cell_angle_beta 90.00
_cell_angle_gamma 90.00
_symmetry_space_group_name_H-M 'P 4 m m'
_symmetry_Int_Tables_number 99
loop_
_symmetry_equiv_pos_as_xyz
'x,y,z'
'-y,x,z'
'-x,-y,z'
'y,-x,z'
'-x,y,z'
'y,x,z'
'x,-y,z'
'-y,-x,z'
loop_
_atom_site_label
_atom_site_type_symbol
_atom_site_fract_x
_atom_site_fract_y
_atom_site_fract_z
_atom_site_occupancy
Pr1 Pr 0.000 0.000 0.000 1
Y1 Y 0.000 0.000 0.478 1
Hg1 Hg 0.500 0.500 0.725 1
Au1 Au 0.500 0.500 0.265 1
```



3.
CaTiCr2N | PBE-GGA | optimized geometry

Summary:
The value obtained for the density of states at the Fermi level is 1.56 states/eV/atom. The formation energy without anion corrections is 2.364 eV/atom. The density comes out at 4.1 g/cm3.

```
data_CaTiCr2N
_cell_length_a 4.499
_cell_length_b 4.499
_cell_length_c 4.141
_cell_angle_alpha 90.00
_cell_angle_beta 90.00
_cell_angle_gamma 90.00
_symmetry_space_group_name_H-M 'P 4/m m m'
_symmetry_Int_Tables_number 123
_symmetry_space_group_name_Hall '-P 4 2'
loop_
_atom_site_label
_atom_site_type_symbol
_atom_site_fract_x
_atom_site_fract_y
_atom_site_fract_z
_atom_site_occupancy
Ca1 Ca 0.000 0.000 0.000 1
Ti1 Ti 0.500 0.500 0.500 1
Cr1 Cr 0.000 0.500 0.000 1
N1 N 0.000 0.000 0.500 1
```



4.
Pm2PrNdBi5 | PBE-GGA | optimized geometry

Summary:
The value obtained for the density of states at the Fermi level is 0.73 states/eV/atom. For the formation enthalpy at 0 K, the calculation gives -0.20 eV per formula unit. The density comes out at 7.2 g/cm3.

```
data_Pm2PrNdBi5
_cell_length_a 5.551
_cell_length_b 5.551
_cell_length_c 12.180
_cell_angle_alpha 90.00
_cell_angle_beta 90.00
_cell_angle_gamma 90.00
_symmetry_space_group_name_H-M 'P 4/m m m'
_symmetry_Int_Tables_number 123
_symmetry_space_group_name_Hall '-P 4 2'
loop_
_atom_site_label
_atom_site_type_symbol
_atom_site_fract_x
_atom_site_fract_y
_atom_site_fract_z
_atom_site_occupancy
Pm1 Pm 0.000 0.000 0.230 1
Pr1 Pr 0.500 0.500 0.500 1
Nd1 Nd 0.500 0.500 0.000 1
Bi1 Bi 0.000 0.000 0.500 1
Bi2 Bi 0.000 0.500 0.000 1
Bi3 Bi 0.500 0.500 0.253 1
```



5.
NiHgRh4 | PBE-GGA | optimized geometry

Summary:
The value obtained for the density of states at the Fermi level is 2.02 states/eV/atom. For the formation enthalpy at 0 K, the calculation gives 2.72 eV per formula unit. The density comes out at 11.5 g/cm3.

```
data_NiHgRh4
_cell_length_a 7.285
_cell_length_b 7.285
_cell_length_c 7.285
_cell_angle_alpha 90.00
_cell_angle_beta 90.00
_cell_angle_gamma 90.00
_symmetry_space_group_name_H-M 'F -4 3 m'
_symmetry_Int_Tables_number 216
_symmetry_space_group_name_Hall 'F -4 2 3'
loop_
_atom_site_label
_atom_site_type_symbol
_atom_site_fract_x
_atom_site_fract_y
_atom_site_fract_z
_atom_site_occupancy
Ni1 Ni 0.000 0.000 0.000 1
Hg1 Hg 0.250 0.250 0.250 1
Rh1 Rh 0.125 0.125 0.625 1
```



6.
Pa2SeCl8 | PBE-GGA | optimized geometry

Summary:
The formation energy without anion corrections is -1.738 eV/atom. The density comes out at 3.0 g/cm3.

```
data_Pa2SeCl8
_cell_length_a 8.657
_cell_length_b 12.152
_cell_length_c 8.790
_cell_angle_alpha 90.00
_cell_angle_beta 92.18
_cell_angle_gamma 90.00
_symmetry_space_group_name_H-M 'C 1 2/m 1'
_symmetry_Int_Tables_number 12
loop_
_symmetry_equiv_pos_as_xyz
'x,y,z'
'-x,-y,-z'
'-x,y,-z'
'x,-y,z'
'x+1/2,y+1/2,z'
'-x+1/2,-y+1/2,-z'
'-x+1/2,y+1/2,-z'
'x+1/2,-y+1/2,z'
loop_
_atom_site_label
_atom_site_type_symbol
_atom_site_fract_x
_atom_site_fract_y
_atom_site_fract_z
_atom_site_occupancy
Pa1 Pa 0.118 0.000 0.220 1
Se1 Se 0.000 0.000 0.500 1
Cl1 Cl 0.101 0.500 0.705 1
Cl2 Cl 0.110 0.206 0.210 1
Cl3 Cl 0.175 0.000 0.915 1
```



7.
TiBi2O4 | PBE-GGA | optimized geometry

Summary:
The value obtained for the density of states at the Fermi level is 0.25 states/eV/atom. The formation energy without anion corrections is -1.559 eV/atom. The density comes out at 8.9 g/cm3.

```
data_TiBi2O4
_cell_length_a 3.897
_cell_length_b 3.897
_cell_length_c 13.048
_cell_angle_alpha 90.00
_cell_angle_beta 90.00
_cell_angle_gamma 90.00
_symmetry_space_group_name_H-M 'I 4/m m m'
_symmetry_Int_Tables_number 139
_symmetry_space_group_name_Hall '-I 4 2'
loop_
_atom_site_label
_atom_site_type_symbol
_atom_site_fract_x
_atom_site_fract_y
_atom_site_fract_z
_atom_site_occupancy
Ti1 Ti 0.000 0.000 0.000 1
Bi1 Bi 0.000 0.000 0.341 1
O1 O 0.000 0.000 0.160 1
O2 O 0.000 0.500 0.000 1
```



8.
CaInFe2 | PBE-GGA | optimized geometry

Summary:
The value obtained for the density of states at the Fermi level is 0.50 states/eV/atom. For the formation enthalpy at 0 K, the calculation gives 2.82 eV per formula unit. The density comes out at 5.3 g/cm3.

```
data_CaInFe2
_cell_length_a 7.607
_cell_length_b 7.607
_cell_length_c 5.789
_cell_angle_alpha 90.00
_cell_angle_beta 90.00
_cell_angle_gamma 90.00
_symmetry_space_group_name_H-M 'I -4 2 d'
_symmetry_Int_Tables_number 122
_symmetry_space_group_name_Hall 'I -4 2bw'
loop_
_atom_site_label
_atom_site_type_symbol
_atom_site_fract_x
_atom_site_fract_y
_atom_site_fract_z
_atom_site_occupancy
Ca1 Ca 0.000 0.000 0.000 1
In1 In 0.000 0.000 0.500 1
Fe1 Fe 0.223 0.250 0.625 1
```